Here is a geometry-optimized Rb3Dy2MgSe6 structure from Alexandria via LeMat-Bulk. Energies are from PBE.

a = 7.239 Å, b = 7.239 Å, c = 8.398 Å
α = 98.27°, β = 98.27°, γ = 120.01°
Element x y z (fractional)
Dy: 0.667 0.333 0.000
Dy: 0.333 0.667 0.000
Se: 0.393 0.064 0.193
Rb: 0.500 0.500 0.500
Se: 0.064 0.393 0.193
Se: 0.607 0.936 0.807
Se: 0.736 0.736 0.194
Se: 0.264 0.264 0.806
Rb: 0.833 0.167 0.500
Rb: 0.167 0.833 0.500
Mg: 0.000 0.000 0.000
Se: 0.936 0.607 0.807

Results
Energy relative to the elements, uncorrected: -139 kJ/mol of atoms
SG: No. 12
Size of the total moment: 0.00 μB per formula unit